No. 1
The following is a PBE calculation of CoSN2 after structural relaxation, from Alexandria via LeMat-Bulk.

Properties
The calculation puts the formation energy from raw total energies at 560 meV per atom.

Unit cell a=2.9664 b=2.9658 c=6.9032 alpha=89.20 beta=88.81 gamma=59.94
Closest atoms and distances in Å follow each position.
Sites, in units of the cell vectors:
N (0.9719, 0.3810, 0.0477)  3 Co 1.80
N (0.2894, 0.7098, 0.3935)  1 S 1.49
S (0.2806, 0.7074, 0.6098)  1 N 1.49
Co (0.3017, 0.7132, 0.1267)  4 N 1.80-1.84

No. 2
The following is a PBE calculation of BaNb after structural relaxation, from Alexandria via LeMat-Bulk.

Properties
For the formation energy, the calculation gives 0.798 eV per atom.

Unit cell a=9.2923 b=9.2923 c=5.9109 alpha=90.00 beta=90.00 gamma=120.00
Closest atoms and distances in Å follow each position.
Sites, in units of the cell vectors:
Nb (0.5877, 0.4348, 0.7500)  2 Nb 2.52
Nb (0.8472, 0.4123, 0.7500)  2 Nb 2.52
Ba (0.1689, 0.8120, 0.7500)  6 Nb 3.41-3.76
Ba (0.6430, 0.8311, 0.7500)  6 Nb 3.41-3.76
Nb (0.1528, 0.5877, 0.2500)  2 Nb 2.52
Ba (0.1880, 0.3570, 0.7500)  6 Nb 3.41-3.76
Nb (0.5652, 0.1528, 0.7500)  2 Nb 2.52
Nb (0.4348, 0.8472, 0.2500)  2 Nb 2.52
Nb (0.4123, 0.5652, 0.2500)  2 Nb 2.52
Ba (0.8120, 0.6430, 0.2500)  6 Nb 3.41-3.76
Ba (0.8311, 0.1880, 0.2500)  6 Nb 3.41-3.76
Ba (0.3570, 0.1689, 0.2500)  6 Nb 3.41-3.76

No. 3
The following is a PBE calculation of Sb2CSe after structural relaxation, from Alexandria via LeMat-Bulk.

Properties
The calculation puts the formation energy from raw total energies at 1382 meV per atom.

Unit cell a=4.8396 b=4.8396 c=4.8396 alpha=60.00 beta=60.00 gamma=60.00
Closest atoms and distances in Å follow each position.
Sites, in units of the cell vectors:
Se (0.5000, 0.5000, 0.5000)  8 Sb 2.96
Sb (0.7500, 0.7500, 0.7500)  4 Se 2.96, 4 C 2.96
C (0.0000, 0.0000, 0.0000)  8 Sb 2.96
Sb (0.2500, 0.2500, 0.2500)  4 Se 2.96, 4 C 2.96

No. 4
The following is a PBE calculation of LaFeTe2 after structural relaxation, from Alexandria via LeMat-Bulk.

Properties
The calculation puts the formation energy from raw total energies at -498 meV per atom.

Unit cell a=5.1620 b=5.1620 c=3.9134 alpha=90.01 beta=90.01 gamma=89.99
Closest atoms and distances in Å follow each position.
Sites, in units of the cell vectors:
Fe (0.5000, 0.0000, 0.5000)  8 Te 3.24
Te (0.5000, 0.5000, 0.0000)  4 La 3.24, 4 Fe 3.24
La (0.0000, 0.5000, 0.5000)  8 Te 3.24
Te (0.0000, 0.0000, 0.0000)  4 Fe 3.24, 4 La 3.24

No. 5
The following is a PBE calculation of Hg3PW after structural relaxation, from Alexandria via LeMat-Bulk.

Properties
For the formation energy, the calculation gives 1.454 eV per atom.

Unit cell a=5.0754 b=5.0754 c=5.0754 alpha=90.00 beta=90.00 gamma=90.00
Closest atoms and distances in Å follow each position.
Sites, in units of the cell vectors:
Hg (0.0000, 0.0000, 0.5000)  2 P 2.54
W (0.5000, 0.5000, 0.5000)  12 Hg 3.59
P (0.0000, 0.0000, 0.0000)  6 Hg 2.54
Hg (0.0000, 0.5000, 0.0000)  2 P 2.54
Hg (0.5000, 0.0000, 0.0000)  2 P 2.54

No. 6
The following is a PBE calculation of Co4Ru5 after structural relaxation, from Alexandria via LeMat-Bulk.

Properties
For the formation energy, the calculation gives 0.166 eV per atom.

Unit cell a=5.8132 b=5.8132 c=5.8132 alpha=95.82 beta=95.82 gamma=142.87
Closest atoms and distances in Å follow each position.
Sites, in units of the cell vectors:
Ru (0.3309, 0.6691, 0.0000)  6 Ru 2.57-2.64, 6 Co 2.58-2.62
Ru (0.0000, 0.0000, 0.0000)  4 Co 2.61, 8 Ru 2.63
Co (0.6647, 0.0000, 0.6647)  5 Co 2.57-2.59, 7 Ru 2.58-2.62
Ru (0.6691, 0.6691, 0.3382)  6 Ru 2.57-2.64, 6 Co 2.58-2.62
Co (0.0000, 0.3353, 0.3353)  5 Co 2.57-2.59, 7 Ru 2.58-2.62
Ru (0.6691, 0.3309, 0.0000)  6 Ru 2.57-2.64, 6 Co 2.58-2.62
Ru (0.3309, 0.3309, 0.6618)  6 Ru 2.57-2.64, 6 Co 2.58-2.62
Co (0.3353, 0.0000, 0.3353)  5 Co 2.57-2.59, 7 Ru 2.58-2.62
Co (0.0000, 0.6647, 0.6647)  5 Co 2.57-2.59, 7 Ru 2.58-2.62

No. 7
The following is a PBE calculation of Ta2CN after structural relaxation, from Alexandria via LeMat-Bulk.

Properties
The calculation puts the formation energy from raw total energies at -446 meV per atom.

Unit cell a=4.7869 b=4.7869 c=5.8707 alpha=65.94 beta=65.94 gamma=90.00
Closest atoms and distances in Å follow each position.
Sites, in units of the cell vectors:
Ta (0.8750, 0.8776, 0.7500)  2 N 2.07, 2 C 2.08
Ta (0.3750, 0.3724, 0.7500)  2 N 2.07, 2 C 2.08
N (0.7500, 0.2500, 0.5000)  4 Ta 2.07
Ta (0.1224, 0.6250, 0.2500)  2 N 2.07, 2 C 2.08
N (0.0000, 0.0000, 0.0000)  4 Ta 2.07
C (0.2500, 0.7500, 0.5000)  4 Ta 2.08
Ta (0.6276, 0.1250, 0.2500)  2 N 2.07, 2 C 2.08
C (0.5000, 0.5000, 0.0000)  4 Ta 2.08

No. 8
The following is a PBE calculation of PrSnBi3 after structural relaxation, from Alexandria via LeMat-Bulk.

Properties
For the formation energy, the calculation gives -0.256 eV per atom.

Unit cell a=6.3552 b=10.2202 c=10.2202 alpha=87.20 beta=89.57 gamma=89.57
Closest atoms and distances in Å follow each position.
Sites, in units of the cell vectors:
Bi (0.8324, 0.2761, 0.4764)  2 Bi 3.22-3.28, 2 Sn 3.24-3.31, 3 Pr 3.42-3.59
Pr (0.3278, 0.1550, 0.3845)  7 Bi 3.36-3.59, 1 Sn 3.45
Pr (0.8278, 0.3845, 0.1550)  7 Bi 3.36-3.59, 1 Sn 3.45
Bi (0.5045, 0.1457, 0.6944)  2 Bi 3.18-3.28, 2 Sn 3.19-3.26, 2 Pr 3.36-3.38
Bi (0.1676, 0.7239, 0.5236)  2 Bi 3.22-3.28, 2 Sn 3.24-3.31, 3 Pr 3.42-3.59
Pr (0.1722, 0.6155, 0.8450)  7 Bi 3.36-3.59, 1 Sn 3.45
Bi (0.0045, 0.6944, 0.1457)  2 Bi 3.18-3.28, 2 Sn 3.19-3.26, 2 Pr 3.36-3.38
Bi (0.3324, 0.4764, 0.2761)  2 Bi 3.22-3.28, 2 Sn 3.24-3.31, 3 Pr 3.42-3.59
Sn (0.2500, 0.9526, 0.0474)  6 Bi 3.19-3.45, 2 Sn 3.45
Sn (0.7500, 0.0474, 0.9526)  6 Bi 3.19-3.45, 2 Sn 3.45
Bi (0.6326, 0.7395, 0.9421)  2 Bi 3.18-3.22, 2 Sn 3.25-3.45, 2 Pr 3.37-3.47
Sn (0.7500, 0.5919, 0.4081)  6 Bi 3.24-3.31, 2 Pr 3.45
Pr (0.6722, 0.8450, 0.6155)  7 Bi 3.36-3.59, 1 Sn 3.45
Bi (0.1326, 0.9421, 0.7395)  2 Bi 3.18-3.22, 2 Sn 3.25-3.45, 2 Pr 3.37-3.47
Sn (0.2500, 0.4081, 0.5919)  6 Bi 3.24-3.31, 2 Pr 3.45
Bi (0.9955, 0.3056, 0.8543)  2 Bi 3.18-3.28, 2 Sn 3.19-3.26, 2 Pr 3.36-3.38
Bi (0.6676, 0.5236, 0.7239)  2 Bi 3.22-3.28, 2 Sn 3.24-3.31, 3 Pr 3.42-3.59
Bi (0.4955, 0.8543, 0.3056)  2 Bi 3.18-3.28, 2 Sn 3.19-3.26, 2 Pr 3.36-3.38
Bi (0.3674, 0.2605, 0.0579)  2 Bi 3.18-3.22, 2 Sn 3.25-3.45, 2 Pr 3.37-3.47
Bi (0.8674, 0.0579, 0.2605)  2 Bi 3.18-3.22, 2 Sn 3.25-3.45, 2 Pr 3.37-3.47

No. 9
The following is a PBE calculation of Pu2InOs after structural relaxation, from Alexandria via LeMat-Bulk.

Properties
For the formation energy, the calculation gives 0.310 eV per atom.

Unit cell a=3.2177 b=3.2177 c=11.0308 alpha=81.61 beta=81.61 gamma=60.00
Closest atoms and distances in Å follow each position.
Sites, in units of the cell vectors:
In (0.0000, 0.0000, 0.0000)  6 In 3.22, 2 Pu 3.27
Pu (0.8997, 0.8997, 0.3009)  3 Os 2.85
Pu (0.1003, 0.1003, 0.6991)  3 Os 2.85
Os (0.5000, 0.5000, 0.5000)  6 Pu 2.85

No. 10
The following is a PBE calculation of BaSeO3 after structural relaxation, from Alexandria via LeMat-Bulk.

Properties
The calculation puts the formation energy from raw total energies at -1510 meV per atom.

Unit cell a=4.0931 b=4.0931 c=4.0931 alpha=90.00 beta=90.00 gamma=90.00
Closest atoms and distances in Å follow each position.
Sites, in units of the cell vectors:
O (0.5000, 0.0000, 0.0000)  2 Se 2.05
Ba (0.5000, 0.5000, 0.5000)  12 O 2.89
O (0.0000, 0.0000, 0.5000)  2 Se 2.05
O (0.0000, 0.5000, 0.0000)  2 Se 2.05
Se (0.0000, 0.0000, 0.0000)  6 O 2.05

No. 11
The following is a PBE calculation of HfIn2CuN after structural relaxation, from Alexandria via LeMat-Bulk.

Properties
The calculation puts the formation energy from raw total energies at 605 meV per atom.

Unit cell a=5.7804 b=3.9911 c=5.7804 alpha=90.00 beta=90.00 gamma=90.00
Closest atoms and distances in Å follow each position.
Sites, in units of the cell vectors:
Cu (0.5000, 0.5000, 0.5000)  8 In 3.51
N (0.0000, 0.5000, 0.0000)  2 Hf 2.00
Hf (0.0000, 0.0000, 0.0000)  2 N 2.00
In (0.5000, 0.0000, 0.0000)  2 Hf 2.89
In (0.0000, 0.0000, 0.5000)  2 Hf 2.89

Number 1: density of states at the Fermi level 2.015 states/eV per cell, E -25.6 eV for the cell shown. Number 2: density of states at the Fermi level 16.572 states/eV per cell, E -62.4 eV for the cell shown. Number 3: density of states at the Fermi level 2.641 states/eV per cell, E -15.4 eV for the cell shown. Number 4: density of states at the Fermi level 1.847 states/eV per cell, E -21.7 eV for the cell shown. Number 5: density of states at the Fermi level 2.445 states/eV per cell, E -12.0 eV for the cell shown. Number 6: density of states at the Fermi level 10.547 states/eV per cell, E -73.3 eV for the cell shown. Number 7: density of states at the Fermi level 3.692 states/eV per cell, E -86.1 eV for the cell shown. Number 8: density of states at the Fermi level 10.467 states/eV per cell, E -86.8 eV for the cell shown. Number 9: density of states at the Fermi level 12.621 states/eV per cell, E -41.4 eV for the cell shown. Number 10: density of states at the Fermi level 0.000 states/eV per cell, E -27.8 eV for the cell shown. Number 11: density of states at the Fermi level 3.278 states/eV per cell, E -24.8 eV for the cell shown.